# 1
9
Lattice="8.9806 0.0000 0.0000 -4.4903 7.7774 0.0000 0.0000 0.0000 3.2758" Properties=species:S:1:pos:R:3 comment="YZr2 | the Alexandria database | PBE | optimized geometry" spacegroup="P-62m, No. 189" crystal_system=hexagonal pbc="T T T"
Y 0.0000 0.0000 0.0000
Y 0.0000 5.1849 1.6379
Y 4.4903 2.5925 1.6379
Zr -1.4219 2.4628 1.6379
Zr -2.9177 5.0536 0.0000
Zr 2.8438 0.0000 1.6379
Zr 1.5726 2.7238 0.0000
Zr 5.8354 0.0000 0.0000
Zr 3.0684 5.3146 1.6379

---

# 2
8
Lattice="5.5085 0.0000 0.0000 -2.7542 4.7705 0.0000 0.0000 0.0000 8.5486" Properties=species:S:1:pos:R:3 comment="YZr | the Alexandria database | PBE | optimized geometry" e_above_lowest_polymorph_mev_per_atom=327 spacegroup="P6_3/mmc, No. 194" crystal_system=hexagonal pbc="T T T"
Y 0.0000 0.0000 2.1371
Y 0.0000 0.0000 6.4114
Y 0.0000 3.1803 2.1371
Y 2.7542 1.5902 6.4114
Zr 0.0000 3.1803 5.0437
Zr 0.0000 3.1803 7.7792
Zr 2.7542 1.5902 0.7694
Zr 2.7542 1.5902 3.5049

---

# 3
2
Lattice="0.0000 3.0612 3.0612 3.0612 0.0000 3.0612 3.0612 3.0612 0.0000" Properties=species:S:1:pos:R:3 comment="YZr | the Alexandria database | PBE | optimized geometry" e_above_lowest_polymorph_mev_per_atom=955 spacegroup="Fm-3m, No. 225" crystal_system=cubic pbc="T T T"
Y 0.0000 0.0000 0.0000
Zr 3.0612 3.0612 3.0612

---

# 4
3
Lattice="-1.9089 1.9089 5.3544 1.9089 -1.9089 5.3544 1.9089 1.9089 -5.3544" Properties=species:S:1:pos:R:3 comment="YZr2 | the Alexandria database | PBE | optimized geometry" spacegroup="I4/mmm, No. 139" crystal_system=tetragonal pbc="T T T"
Y 0.0000 0.0000 0.0000
Zr 0.0000 0.0000 3.3083
Zr 0.0000 0.0000 7.4004

---

# 5
6
Lattice="-2.5979 4.6480 3.3665 2.5979 -4.6480 3.3665 2.5979 4.6480 -3.3665" Properties=species:S:1:pos:R:3 comment="YZr | the Alexandria database | PBE | optimized geometry" e_above_lowest_polymorph_mev_per_atom=76 spacegroup="Imm2, No. 44" crystal_system=orthorhombic pbc="T T T"
Y 0.0000 0.0000 0.0000
Y 2.5979 -1.5762 1.7527
Y 2.5979 1.5762 1.7527
Zr 0.0000 0.0000 3.5198
Zr 0.0000 3.2417 1.6920
Zr 0.0000 6.0543 1.6920

---

# 6
6
Lattice="6.0761 -1.6677 0.0000 6.0761 1.6677 0.0000 -1.8618 0.0000 7.6429" Properties=species:S:1:pos:R:3 comment="YZr2 | the Alexandria database | PBE | optimized geometry" spacegroup="Cm, No. 8" crystal_system=monoclinic pbc="T T T"
Y 0.0000 0.0000 0.0000
Y 7.5732 0.0000 2.6283
Zr -0.4522 0.0000 4.7292
Zr 2.8531 0.0000 5.1180
Zr 4.2751 0.0000 2.2526
Zr 7.1081 0.0000 7.1613

---

DFT formation energy / eV/atom: 0.126; 0.375; 1.003; 0.138; 0.124; 0.084
E_tot / eV per cell: -69.6; -57.1; -13.0; -23.1; -44.3; -46.6